## SrAsAu (GGA-PBE)

Data for a relaxed SrAsAu crystal.

abc: 6.113 6.113 4.985
angles: 90.00 90.00 90.00
Fractional positions:
Sr1 0.250 0.750 0.000
Sr2 0.750 0.250 0.000
As1 0.250 0.250 0.197
As2 0.750 0.750 0.803
Au1 0.250 0.250 0.689
Au2 0.750 0.750 0.311

Formation enthalpy at 0 K, eV per atom: -0.602
Crystal system: tetragonal
Size of the total moment, μB per formula unit: 0.00
Space group: P4/nmm